(1)
Compound: BeNbRu3
Source: Alexandria
Functional: PBEsol
Structure: optimized geometry

CIF file:
```
data_BeNbRu3
_chemical_formula_sum 'Be1 Nb1 Ru3'
_symmetry_space_group_name_H-M 'P m -3 m'
_symmetry_Int_Tables_number 221
_symmetry_space_group_name_Hall '-P 4 2 3'
_cell_length_a 4.058
_cell_length_b 4.058
_cell_length_c 4.058
_cell_angle_alpha 90.00
_cell_angle_beta 90.00
_cell_angle_gamma 90.00
loop_
_atom_site_label
_atom_site_type_symbol
_atom_site_fract_x
_atom_site_fract_y
_atom_site_fract_z
Be1 Be 0.000 0.000 0.000
Nb1 Nb 0.500 0.500 0.500
Ru1 Ru 0.000 0.000 0.500
```

E_form (kJ/mol of formula units): 65



(2)
Compound: Be2Nb2Ru
Source: Alexandria
Functional: PBEsol
Structure: optimized geometry

CIF file:
```
data_Be2Nb2Ru
_chemical_formula_sum 'Be4 Nb4 Ru2'
_symmetry_space_group_name_H-M 'I 4/m m m'
_symmetry_Int_Tables_number 139
_symmetry_space_group_name_Hall '-I 4 2'
_cell_length_a 2.925
_cell_length_b 2.925
_cell_length_c 15.993
_cell_angle_alpha 90.00
_cell_angle_beta 90.00
_cell_angle_gamma 90.00
loop_
_atom_site_label
_atom_site_type_symbol
_atom_site_fract_x
_atom_site_fract_y
_atom_site_fract_z
Be1 Be 0.000 0.500 0.250
Nb1 Nb 0.000 0.000 0.109
Ru1 Ru 0.000 0.000 0.500
```

Energy above the lowest structure with this stoichiometry (meV per atom): 533
E_form (kJ/mol of formula units): 107



(3)
Compound: BeNbS3
Source: Alexandria
Functional: PBEsol
Structure: optimized geometry

CIF file:
```
data_BeNbS3
_chemical_formula_sum 'Be1 Nb1 S3'
_symmetry_space_group_name_H-M 'P m -3 m'
_symmetry_Int_Tables_number 221
_symmetry_space_group_name_Hall '-P 4 2 3'
_cell_length_a 4.225
_cell_length_b 4.225
_cell_length_c 4.225
_cell_angle_alpha 90.00
_cell_angle_beta 90.00
_cell_angle_gamma 90.00
loop_
_atom_site_label
_atom_site_type_symbol
_atom_site_fract_x
_atom_site_fract_y
_atom_site_fract_z
Be1 Be 0.000 0.000 0.000
Nb1 Nb 0.500 0.500 0.500
S1 S 0.000 0.000 0.500
```

E_form (uncorrected) (eV/f.u.): 0.50



(4)
Compound: BeNb2WS
Source: Alexandria
Functional: PBEsol
Structure: optimized geometry

CIF file:
```
data_BeNb2WS
_chemical_formula_sum 'Be1 Nb2 W1 S1'
_symmetry_space_group_name_H-M 'P 4/m m m'
_symmetry_Int_Tables_number 123
_symmetry_space_group_name_Hall '-P 4 2'
_cell_length_a 4.512
_cell_length_b 4.512
_cell_length_c 4.342
_cell_angle_alpha 90.00
_cell_angle_beta 90.00
_cell_angle_gamma 90.00
loop_
_atom_site_label
_atom_site_type_symbol
_atom_site_fract_x
_atom_site_fract_y
_atom_site_fract_z
Be1 Be 0.000 0.000 0.000
Nb1 Nb 0.000 0.500 0.500
W1 W 0.500 0.500 0.000
S1 S 0.500 0.500 0.500
```

E_form (uncorrected) (eV/f.u.): 3.30



| no. | Fermi-level density of states (states/eV/f.u.) |
| --- | --- |
| 1 | 2.4 |
| 2 | 4.5 |
| 3 | 4.0 |
| 4 | 6.4 |